First-principles (PBE) data for HfUMo after structural relaxation, as listed in the Alexandria database.

POSCAR file:
```
HfUMo
1.0
-1.695 1.695 5.191
1.695 -1.695 5.191
1.695 1.695 -5.191
Hf U Mo
1 1 1
Cartesian
0.000 0.000 0.000
0.000 0.000 7.170
0.000 0.000 3.331
```

Output
The formation energy comes out at 0.1433 eV per atom. The value obtained for the total energy is -10.55 eV/atom. Its energy above the most stable polymorph in this dataset is 0 meV/atom. As for the space group: I4mm, No. 107. The crystal system is tetragonal.